# PBE CeY4Se6, relaxed
data_CeY4Se6
_symmetry_space_group_name_H-M 'C m c m'
_symmetry_Int_Tables_number 63
_symmetry_space_group_name_Hall '-C 2c 2'
_cell_length_a 4.059
_cell_length_b 13.458
_cell_length_c 20.763
_cell_angle_alpha 90.00
_cell_angle_beta 90.00
_cell_angle_gamma 90.00
loop_
_atom_site_label
_atom_site_type_symbol
_atom_site_fract_x
_atom_site_fract_y
_atom_site_fract_z
Ce1 Ce 0.000 0.156 0.250
Y1 Y 0.000 0.091 0.626
Y2 Y 0.000 0.359 0.539
Se1 Se 0.000 0.000 0.000
Se2 Se 0.000 0.183 0.750
Se3 Se 0.000 0.268 0.091
Se4 Se 0.000 0.452 0.665
# N(E_F) in states/eV per cell: 39.630
# DFT total energy in eV for the cell shown: -291.60

# PBE Ti3Ga3MoPd2, relaxed
data_Ti3Ga3MoPd2
_symmetry_space_group_name_H-M 'P -6 2 m'
_symmetry_Int_Tables_number 189
_symmetry_space_group_name_Hall 'P -6 -2'
_cell_length_a 7.4002
_cell_length_b 7.4002
_cell_length_c 3.0552
_cell_angle_alpha 90.00
_cell_angle_beta 90.00
_cell_angle_gamma 120.00
loop_
_atom_site_label
_atom_site_type_symbol
_atom_site_fract_x
_atom_site_fract_y
_atom_site_fract_z
Ti1 Ti 0.0000 0.7175 0.0000
Ga1 Ga 0.0000 0.3694 0.5000
Mo1 Mo 0.0000 0.0000 0.5000
Pd1 Pd 0.3333 0.6667 0.0000
# Calculated formation energy in eV per atom: -0.391
# N(E_F) in states/eV per cell: 4.998